MnZnAsO4: relaxed, GGA+U.

Output
- calculated volume (Å³/f.u.) = 89
- total magnetic moment (μB per atom) = 0.62
- uncorrected energy (eV/atom) = -6.009
- density of states at the Fermi level (states/eV/cell) = 4.36

Cell: 5.499 5.499 6.445 Å, 90.00 90.00 114.68°
Fractional coordinates of all 14 atoms:
1 O 0.265 0.735 0.015
2 O 0.735 0.265 0.515
3 O 0.223 0.244 0.750
4 O 0.265 0.735 0.485
5 O 0.777 0.756 0.250
6 O 0.756 0.777 0.750
7 O 0.244 0.223 0.250
8 O 0.735 0.265 0.985
9 Mn 0.500 0.500 0.500
10 Mn 0.500 0.500 0.000
11 Zn 0.841 0.159 0.250
12 Zn 0.159 0.841 0.750
13 As 0.151 0.849 0.250
14 As 0.849 0.151 0.750